[1]
Density functional theory data (PBE) for an optimized crystal structure of NdSmDy2In4. Values from VASP.

```
&SYSTEM
  ibrav = 0, nat = 8, ntyp = 4
/
ATOMIC_SPECIES
In 114.82 In.upf
Nd 144.24 Nd.upf
Dy 162.50 Dy.upf
Sm 150.36 Sm.upf
CELL_PARAMETERS angstrom
-2.251 -0.710 -4.833
0.061 -4.857 -2.308
-8.403 -3.785 1.477
ATOMIC_POSITIONS crystal
In 0.125 0.125 0.624
In 0.625 0.625 0.126
In 0.375 0.375 0.874
In 0.875 0.875 0.376
Nd 0.000 0.000 0.000
Dy 0.250 0.250 0.250
Dy 0.750 0.750 0.750
Sm 0.500 0.500 0.500
```


[2]
Density functional theory data (PBE) for an optimized crystal structure of Tb2NdDyIn4. Values from VASP.

```
&SYSTEM
  ibrav = 0, nat = 8, ntyp = 4
/
ATOMIC_SPECIES
Tb 158.93 Tb.upf
In 114.82 In.upf
Nd 144.24 Nd.upf
Dy 162.50 Dy.upf
CELL_PARAMETERS angstrom
-3.713 2.532 -2.925
-4.672 1.399 2.228
0.636 9.043 2.106
ATOMIC_POSITIONS crystal
Tb 0.250 0.250 0.251
Tb 0.750 0.750 0.749
In 0.874 0.874 0.379
In 0.624 0.624 0.129
In 0.376 0.376 0.871
In 0.126 0.126 0.621
Nd 0.000 0.000 0.000
Dy 0.500 0.500 0.500
```


[3]
Density functional theory data (PBE) for an optimized crystal structure of Tb3Nd2Dy6In. Values from VASP.

```
&SYSTEM
  ibrav = 0, nat = 12, ntyp = 4
/
ATOMIC_SPECIES
Dy 162.50 Dy.upf
In 114.82 In.upf
Tb 158.93 Tb.upf
Nd 144.24 Nd.upf
CELL_PARAMETERS angstrom
-1.735 5.499 -2.022
-3.487 -3.027 4.002
7.430 4.178 8.075
ATOMIC_POSITIONS crystal
Dy 0.410 0.083 0.249
Dy 0.756 0.756 0.250
Dy 0.244 0.244 0.750
Dy 0.083 0.410 0.249
Dy 0.590 0.917 0.751
Dy 0.917 0.590 0.751
In 0.000 0.000 0.000
Tb 0.500 0.500 0.500
Tb 0.833 0.167 0.500
Tb 0.167 0.833 0.500
Nd 0.666 0.334 0.000
Nd 0.334 0.666 0.000
```


[4]
Density functional theory data (PBE) for an optimized crystal structure of Tb6Nd2Dy3In. Values from VASP.

```
&SYSTEM
  ibrav = 0, nat = 12, ntyp = 4
/
ATOMIC_SPECIES
In 114.82 In.upf
Dy 162.50 Dy.upf
Tb 158.93 Tb.upf
Nd 144.24 Nd.upf
CELL_PARAMETERS angstrom
-1.483 -5.653 -1.818
4.013 3.302 -3.231
7.819 -3.529 8.040
ATOMIC_POSITIONS crystal
In 0.000 0.000 0.000
Dy 0.500 0.500 0.500
Dy 0.167 0.833 0.500
Dy 0.833 0.167 0.500
Tb 0.243 0.243 0.749
Tb 0.410 0.083 0.250
Tb 0.917 0.590 0.750
Tb 0.590 0.917 0.750
Tb 0.083 0.410 0.250
Tb 0.757 0.757 0.251
Nd 0.666 0.334 0.000
Nd 0.334 0.666 0.000
```


Result set for calculated formation energy: -0.478; -0.476; -0.056; -0.056 eV/atom, one per record in the order listed.
Result set for size of the total moment: 0.00; 0.00; 0.00; 0.00 μB/cell, one per record in the order listed.
Result set for final energy: -4.18; -4.17; -4.54; -4.54 eV/atom, one per record in the order listed.